VASP calculation (PBE) on a relaxed structure of TbHoTh2Te5.

```
9
Lattice="5.414 0.000 0.000 0.000 5.414 0.000 0.000 0.000 11.595" Properties=species:S:1:pos:R:3 pbc="T T T"
Tb 0.000 0.000 0.000
Ho 0.000 0.000 5.798
Th 2.707 2.707 3.928
Th 2.707 2.707 7.667
Te 0.000 0.000 2.863
Te 0.000 0.000 8.732
Te 0.000 2.707 5.798
Te 2.707 0.000 5.798
Te 2.707 2.707 0.000
```

Properties
Space group   P4/mmm (123)
VASP energy   -44.6 eV per formula unit
Formation energy (no corrections)   -0.535 eV per atom